The following is a DFT calculation (PBE with a Hubbard U) of crystalline CaPrHfFeO6 at its relaxed geometry.

a b c (Å): 5.5735 5.5735 5.5735
angles (deg): 60.00 60.00 60.00
With the nearest neighbours (Å) after each atom.
Element x y z (fractional)
Ca 0.0000 0.0000 0.0000  12 O 2.79
Pr 0.5000 0.5000 0.5000  12 O 2.79
Hf 0.7500 0.7500 0.7500  6 O 2.03
Fe 0.2500 0.2500 0.2500  6 O 1.91
O 0.0078 0.0078 0.4922  1 Fe 1.91, 1 Hf 2.03
O 0.0078 0.4922 0.0078  1 Fe 1.91, 1 Hf 2.03
O 0.0078 0.4922 0.4922  1 Fe 1.91, 1 Hf 2.03
O 0.4922 0.0078 0.0078  1 Fe 1.91, 1 Hf 2.03
O 0.4922 0.0078 0.4922  1 Fe 1.91, 1 Hf 2.03
O 0.4922 0.4922 0.0078  1 Fe 1.91, 1 Hf 2.03

Properties
Electronic total energy = -7.745 eV/atom